Material: RbPt2S
Method: DFT, SCAN
State: PBEsol geometry

The space group is I4_1/amd (No. 141, origin choice 2) and the conventional cell measures 5.377, 5.377 and 14.419 Å, with angles of 90.00, 90.00 and 90.00 degrees. The asymmetric unit holds Rb at (0.000, 0.250, 0.375), Pt at (0.000, 0.000, 0.000) and S at (0.000, 0.250, 0.875).

The calculation puts the energy at -692.30 eV per cell. The value obtained for the uncorrected formation energy is -580.1 meV/atom. As for the volume: 416.9 Å³/cell.

Material: MnCd2Se
Method: DFT, SCAN
State: PBEsol geometry

The space group is F-43m (No. 216) and the conventional cell measures 6.713, 6.713 and 6.713 Å, with angles of 90.00, 90.00 and 90.00 degrees. The asymmetric unit holds Mn at (0.000, 0.000, 0.000), Cd at (0.000, 0.000, 0.500), Cd at (0.250, 0.250, 0.250) and Se at (0.250, 0.250, 0.750).

The calculation puts the energy at -394.17 eV per cell. The value obtained for the uncorrected formation energy is 154.7 meV/atom. As for the volume: 302.6 Å³/cell.

Material: ReNi3Cl
Method: DFT, SCAN
State: PBEsol geometry

The space group is Pm-3m (No. 221) and the conventional cell measures 4.490, 4.490 and 4.490 Å, with angles of 90.00, 90.00 and 90.00 degrees. The asymmetric unit holds Re at (0.000, 0.000, 0.000), Ni at (0.000, 0.000, 0.500) and Cl at (0.500, 0.500, 0.500).

The calculation puts the energy at -120.03 eV per cell. The value obtained for the uncorrected formation energy is 1513.1 meV/atom. As for the volume: 90.5 Å³/cell.

Material: Pt2RhCl
Method: DFT, SCAN
State: PBEsol geometry

The space group is I4/mmm (No. 139) and the conventional cell measures 3.854, 3.854 and 8.165 Å, with angles of 90.00, 90.00 and 90.00 degrees. The asymmetric unit holds Pt at (0.000, 0.500, 0.250), Rh at (0.000, 0.000, 0.000) and Cl at (0.000, 0.000, 0.500).

The calculation puts the energy at -358.15 eV per cell. The value obtained for the uncorrected formation energy is 765.6 meV/atom. As for the volume: 121.3 Å³/cell. Its energy above the most stable polymorph in this dataset is 2.37 eV/f.u.

Material: YCd2
Method: DFT, SCAN
State: PBEsol geometry

The space group is P-3m1 (No. 164) and the conventional cell measures 5.0307, 5.0307 and 6.3066 Å, with angles of 90.00, 90.00 and 120.00 degrees. The asymmetric unit holds Y at (0.3333, 0.6667, 0.3041), Cd at (0.0000, 0.0000, 0.0000), Cd at (0.0000, 0.0000, 0.5000) and Cd at (0.3333, 0.6667, 0.8147).

The calculation puts the energy at -179.75 eV per cell. As for the volume: 138.2 Å³/cell.

Material: LiIn2Rh
Method: DFT, SCAN
State: PBEsol geometry

The space group is Fm-3m (No. 225) and the conventional cell measures 6.426, 6.426 and 6.426 Å, with angles of 90.00, 90.00 and 90.00 degrees. The asymmetric unit holds Li at (0.000, 0.000, 0.000), In at (0.250, 0.250, 0.250) and Rh at (0.000, 0.000, 0.500).

The calculation puts the energy at -419.56 eV per cell. As for the volume: 265.3 Å³/cell. Its energy above the most stable polymorph in this dataset is 0.00 eV/f.u.

Material: NaZrBr3
Method: DFT, SCAN
State: PBEsol geometry

The space group is Pm-3m (No. 221) and the conventional cell measures 5.308, 5.308 and 5.308 Å, with angles of 90.00, 90.00 and 90.00 degrees. The asymmetric unit holds Na at (0.000, 0.000, 0.000), Zr at (0.500, 0.500, 0.500) and Br at (0.000, 0.500, 0.500).

The calculation puts the energy at -98.74 eV per cell. The value obtained for the uncorrected formation energy is -1089.7 meV/atom. As for the volume: 149.5 Å³/cell.

Material: YCo2Re
Method: DFT, SCAN
State: PBEsol geometry

The space group is P4mm (No. 99) and the conventional cell measures 3.051, 3.051 and 6.464 Å, with angles of 90.00, 90.00 and 90.00 degrees. The asymmetric unit holds Y at (0.000, 0.000, 0.000), Co at (0.000, 0.000, 0.485), Co at (0.500, 0.500, 0.290) and Re at (0.500, 0.500, 0.663).

The calculation puts the energy at -132.36 eV per cell. As for the volume: 60.2 Å³/cell. Its energy above the most stable polymorph in this dataset is 0.00 eV/f.u.

Material: ZnCd5
Method: DFT, SCAN
State: PBEsol geometry

The space group is Amm2 (No. 38) and the conventional cell measures 5.539, 2.887 and 15.028 Å, with angles of 90.00, 90.00 and 90.00 degrees. The asymmetric unit holds Zn at (0.000, 0.000, 0.000), Cd at (0.000, 0.000, 0.339), Cd at (0.000, 0.000, 0.661), Cd at (0.500, 0.000, 0.111), Cd at (0.500, 0.000, 0.446) and Cd at (0.500, 0.000, 0.779).

The calculation puts the energy at -330.73 eV per cell. As for the volume: 240.3 Å³/cell. Its energy above the most stable polymorph in this dataset is 0.00 eV/f.u.

Material: RbHf2Se2
Method: DFT, SCAN
State: PBEsol geometry

The space group is I4/mmm (No. 139) and the conventional cell measures 4.113, 4.113 and 14.918 Å, with angles of 90.00, 90.00 and 90.00 degrees. The asymmetric unit holds Rb at (0.000, 0.000, 0.000), Hf at (0.000, 0.500, 0.250) and Se at (0.000, 0.000, 0.370).

The calculation puts the energy at -381.49 eV per cell. The value obtained for the uncorrected formation energy is -900.1 meV/atom. As for the volume: 252.4 Å³/cell.

Material: As4Ir
Method: DFT, SCAN
State: PBEsol geometry

The space group is I4/m (No. 87) and the conventional cell measures 7.352, 7.352 and 3.724 Å, with angles of 90.00, 90.00 and 90.00 degrees. The asymmetric unit holds As at (0.025, 0.757, 0.000) and Ir at (0.000, 0.000, 0.500).

The calculation puts the energy at -302.94 eV per cell. As for the volume: 201.3 Å³/cell. Its energy above the most stable polymorph in this dataset is 0.00 eV/f.u.

Material: Cu5Ag4
Method: DFT, SCAN
State: PBEsol geometry

The space group is I4/mmm (No. 139) and the conventional cell measures 8.048, 8.048 and 3.810 Å, with angles of 90.00, 90.00 and 90.00 degrees. The asymmetric unit holds Cu at (0.000, 0.000, 0.000), Cu at (0.160, 0.160, 0.500) and Ag at (0.000, 0.321, 0.000).

The calculation puts the energy at -400.97 eV per cell. As for the volume: 246.7 Å³/cell.

Material: OsPt3
Method: DFT, SCAN
State: PBEsol geometry

The space group is Cmmm (No. 65) and the conventional cell measures 5.491, 7.840 and 2.729 Å, with angles of 90.00, 90.00 and 90.00 degrees. The asymmetric unit holds Os at (0.000, 0.000, 0.000), Pt at (0.000, 0.500, 0.000) and Pt at (0.250, 0.250, 0.500).

The calculation puts the energy at -563.43 eV per cell. As for the volume: 117.5 Å³/cell.

Material: ScReMo
Method: DFT, SCAN
State: PBEsol geometry

The space group is F-43m (No. 216) and the conventional cell measures 6.068, 6.068 and 6.068 Å, with angles of 90.00, 90.00 and 90.00 degrees. The asymmetric unit holds Sc at (0.000, 0.000, 0.000), Re at (0.000, 0.000, 0.500) and Mo at (0.250, 0.250, 0.250).

The calculation puts the energy at -474.90 eV per cell. As for the volume: 223.4 Å³/cell. Its energy above the most stable polymorph in this dataset is 1.96 eV/f.u.

Material: KZn3Pt
Method: DFT, SCAN
State: PBEsol geometry

The space group is Pm-3m (No. 221) and the conventional cell measures 4.859, 4.859 and 4.859 Å, with angles of 90.00, 90.00 and 90.00 degrees. The asymmetric unit holds K at (0.000, 0.000, 0.000), Zn at (0.000, 0.500, 0.500) and Pt at (0.500, 0.500, 0.500).

The calculation puts the energy at -120.94 eV per cell. As for the volume: 114.7 Å³/cell.

Material: La2MgCd2
Method: DFT, SCAN
State: PBEsol geometry

The space group is I4/mmm (No. 139) and the conventional cell measures 4.596, 4.596 and 14.272 Å, with angles of 90.00, 90.00 and 90.00 degrees. The asymmetric unit holds La at (0.000, 0.500, 0.250), Mg at (0.000, 0.000, 0.000) and Cd at (0.000, 0.000, 0.408).

The calculation puts the energy at -303.54 eV per cell. As for the volume: 301.4 Å³/cell. Its energy above the most stable polymorph in this dataset is 2.01 eV/f.u.

Material: SnAs2Ir
Method: DFT, SCAN
State: PBEsol geometry

The space group is I-42d (No. 122) and the conventional cell measures 5.817, 5.817 and 11.700 Å, with angles of 90.00, 90.00 and 90.00 degrees. The asymmetric unit holds Sn at (0.000, 0.000, 0.000), As at (0.198, 0.250, 0.625) and Ir at (0.000, 0.000, 0.500).

The calculation puts the energy at -589.69 eV per cell. As for the volume: 396.0 Å³/cell.

Material: Er5In4Pt2
Method: DFT, SCAN
State: PBEsol geometry

The space group is Pbam (No. 55) and the conventional cell measures 7.898, 17.854 and 3.563 Å, with angles of 90.00, 90.00 and 90.00 degrees. The asymmetric unit holds Er at (0.000, 0.000, 0.000), Er at (0.117, 0.416, 0.000), Er at (0.244, 0.221, 0.000), In at (0.075, 0.852, 0.500), In at (0.210, 0.567, 0.500) and Pt at (0.027, 0.304, 0.500).

The calculation puts the energy at -1073.71 eV per cell. As for the volume: 502.4 Å³/cell.

Material: LiScAu2
Method: DFT, SCAN
State: PBEsol geometry

The space group is P4/mmm (No. 123) and the conventional cell measures 4.548, 4.548 and 3.328 Å, with angles of 90.00, 90.00 and 90.00 degrees. The asymmetric unit holds Li at (0.000, 0.000, 0.000), Sc at (0.500, 0.500, 0.000) and Au at (0.000, 0.500, 0.500).

The calculation puts the energy at -158.19 eV per cell. As for the volume: 68.8 Å³/cell. Its energy above the most stable polymorph in this dataset is 0.21 eV/f.u.

Material: LiMgCd2
Method: DFT, SCAN
State: PBEsol geometry

The space group is Imm2 (No. 44) and the conventional cell measures 3.500, 4.688 and 9.301 Å, with angles of 90.00, 90.00 and 90.00 degrees. The asymmetric unit holds Li at (0.000, 0.000, 0.000), Mg at (0.000, 0.500, 0.756), Cd at (0.000, 0.000, 0.513) and Cd at (0.000, 0.500, 0.266).

The calculation puts the energy at -138.12 eV per cell. As for the volume: 152.6 Å³/cell.

Material: Ca2CuOsF
Method: DFT, SCAN
State: PBEsol geometry

The space group is P4/mmm (No. 123) and the conventional cell measures 5.403, 5.403 and 3.554 Å, with angles of 90.00, 90.00 and 90.00 degrees. The asymmetric unit holds Ca at (0.000, 0.500, 0.000), Cu at (0.000, 0.000, 0.000), Os at (0.500, 0.500, 0.500) and F at (0.000, 0.000, 0.500).

The calculation puts the energy at -108.90 eV per cell. The value obtained for the uncorrected formation energy is 209.8 meV/atom. As for the volume: 103.8 Å³/cell.

Material: Cs3ZnPb
Method: DFT, SCAN
State: PBEsol geometry

The space group is Pm-3m (No. 221) and the conventional cell measures 7.368, 7.368 and 7.368 Å, with angles of 90.00, 90.00 and 90.00 degrees. The asymmetric unit holds Cs at (0.000, 0.000, 0.500), Zn at (0.500, 0.500, 0.500) and Pb at (0.000, 0.000, 0.000).

The calculation puts the energy at -201.65 eV per cell. As for the volume: 400.0 Å³/cell.

Material: LaZrTe2Os
Method: DFT, SCAN
State: PBEsol geometry

The space group is P4/mmm (No. 123) and the conventional cell measures 5.825, 5.825 and 4.825 Å, with angles of 90.00, 90.00 and 90.00 degrees. The asymmetric unit holds La at (0.000, 0.000, 0.000), Zr at (0.500, 0.500, 0.500), Te at (0.000, 0.500, 0.000) and Os at (0.000, 0.000, 0.500).

The calculation puts the energy at -214.80 eV per cell. The value obtained for the uncorrected formation energy is 1077.4 meV/atom. As for the volume: 163.7 Å³/cell.

Material: InPb2
Method: DFT, SCAN
State: PBEsol geometry

The space group is I4/mmm (No. 139) and the conventional cell measures 3.382, 3.382 and 14.884 Å, with angles of 90.00, 90.00 and 90.00 degrees. The asymmetric unit holds In at (0.000, 0.000, 0.000) and Pb at (0.000, 0.000, 0.336).

The calculation puts the energy at -369.67 eV per cell. As for the volume: 170.2 Å³/cell.

Material: SnHCl3
Method: DFT, SCAN
State: PBEsol geometry

The space group is Pm-3m (No. 221) and the conventional cell measures 4.421, 4.421 and 4.421 Å, with angles of 90.00, 90.00 and 90.00 degrees. The asymmetric unit holds Sn at (0.000, 0.000, 0.000), H at (0.500, 0.500, 0.500) and Cl at (0.000, 0.500, 0.500).

The calculation puts the energy at -64.10 eV per cell. As for the volume: 86.4 Å³/cell.

Material: Fe2HgBi
Method: DFT, SCAN
State: PBEsol geometry

The space group is Fm-3m (No. 225) and the conventional cell measures 6.452, 6.452 and 6.452 Å, with angles of 90.00, 90.00 and 90.00 degrees. The asymmetric unit holds Fe at (0.250, 0.250, 0.250), Hg at (0.000, 0.000, 0.000) and Bi at (0.000, 0.000, 0.500).

The calculation puts the energy at -721.23 eV per cell. As for the volume: 268.6 Å³/cell.

Material: Ag2Pb
Method: DFT, SCAN
State: PBEsol geometry

The space group is Cm (No. 8) and the conventional cell measures 10.888, 3.157 and 7.264 Å, with angles of 90.00, 93.21 and 90.00 degrees. The asymmetric unit holds Ag at (0.000, 0.000, 0.000), Ag at (0.116, 0.000, 0.673), Ag at (0.231, 0.500, 0.952), Ag at (0.357, 0.000, 0.230), Pb at (0.130, 0.500, 0.325) and Pb at (0.381, 0.000, 0.653).

The calculation puts the energy at -552.71 eV per cell. As for the volume: 249.3 Å³/cell.

Material: IrPt2
Method: DFT, SCAN
State: PBEsol geometry

The space group is Cmcm (No. 63) and the conventional cell measures 2.728, 14.106 and 4.599 Å, with angles of 90.00, 90.00 and 90.00 degrees. The asymmetric unit holds Ir at (0.000, 0.110, 0.250), Pt at (0.000, 0.224, 0.750) and Pt at (0.000, 0.444, 0.250).

The calculation puts the energy at -843.32 eV per cell. As for the volume: 177.0 Å³/cell. Its energy above the most stable polymorph in this dataset is 0.39 eV/f.u.